Density functional theory data (GGA-PBEsol) for a relaxed Li2TaSi crystal.

## Properties
* uncorrected formation energy: -0.026 eV per atom
* magnetic moment: 0.00 μB/cell
* Fermi-level density of states: 0.525 states/eV per atom

abc: 2.8157 2.8157 7.8283
angles: 90.00 90.00 90.00
With the nearest neighbours (Å) after each atom.
Element x y z (fractional)
Si: 0.0000 0.0000 0.4941  4 Li 2.62, 4 Ta 2.70, 4 Si 2.82
Li: 0.0000 0.0000 0.0037  8 Li 2.82-2.92, 4 Ta 2.95
Li: 0.5000 0.5000 0.2758  4 Si 2.62, 8 Li 2.82-2.92
Ta: 0.5000 0.5000 0.7264  4 Si 2.70, 4 Ta 2.82, 4 Li 2.95